Record 1
Compound: PrMnNi4
Source: Alexandria via LeMat-Bulk
Functional: PBE
Structure: relaxed

Summary:
The calculation puts the volume at 180.9 Å³ per cell. The total energy is -6.216 eV/atom. The energy relative to the elements is -37 meV per atom.

Unit cell a=7.150 b=3.790 c=6.676 alpha=90.00 beta=90.00 gamma=90.00
Space group Pmma (No. 51)
One atom of each set of equivalent atoms:
Pr: 0.250 0.000 0.138 x2
Mn: 0.250 0.000 0.715 x2
Ni: 0.000 0.000 0.500 x2
Ni: 0.052 0.500 0.774 x4
Ni: 0.250 0.500 0.468 x2



Record 2
Compound: Pr2NdGa
Source: Alexandria via LeMat-Bulk
Functional: PBE
Structure: relaxed

Summary:
The calculation puts the volume at 123.6 Å³ per cell. The total energy is -4.580 eV/atom. The calculation puts the excess energy over the best structure of this formula in the dataset at 15 meV per atom. The energy relative to the elements is -241 meV per atom.

Unit cell a=3.656 b=3.656 c=9.245 alpha=90.00 beta=90.00 gamma=90.00
Space group P4/mmm (No. 123)
One atom of each set of equivalent atoms:
Pr: 0.000 0.000 0.209 x2
Nd: 0.500 0.500 0.500 x1
Ga: 0.500 0.500 0.000 x1



Record 3
Compound: CePuAg2
Source: Alexandria via LeMat-Bulk
Functional: PBE
Structure: relaxed

Summary:
The calculation puts the volume at 405.9 Å³ per cell. The total energy is -6.454 eV/atom. The calculation puts the excess energy over the best structure of this formula in the dataset at 23 meV per atom. The energy relative to the elements is 38 meV per atom.

Unit cell a=7.404 b=7.404 c=7.404 alpha=90.00 beta=90.00 gamma=90.00
Space group Fm-3m (No. 225)
One atom of each set of equivalent atoms:
Ce: 0.000 0.000 0.000 x4
Pu: 0.000 0.000 0.500 x4
Ag: 0.250 0.250 0.250 x8



Record 4
Compound: LaTb2SmY2
Source: Alexandria via LeMat-Bulk
Functional: PBE
Structure: relaxed

Summary:
The calculation puts the volume at 407.7 Å³ per cell. The total energy is -5.023 eV/atom. The energy relative to the elements is 283 meV per atom.

Unit cell a=6.664 b=17.995 c=3.400 alpha=90.00 beta=90.00 gamma=90.00
Space group Pnnm (No. 58)
One atom of each set of equivalent atoms:
La: 0.000 0.000 0.000 x2
Tb: 0.226 0.183 0.000 x4
Sm: 0.000 0.500 0.000 x2
Y: 0.222 0.349 0.500 x4



Record 5
Compound: YReO4
Source: Alexandria via LeMat-Bulk
Functional: PBE
Structure: relaxed

Summary:
The value obtained for the raw formation energy is -2.363 eV per atom. The calculation puts the volume at 315.3 Å³ per cell. The total energy is -8.820 eV/atom. The calculation puts the excess energy over the best structure of this formula in the dataset at 0 meV per atom.

Unit cell a=7.964 b=5.378 c=7.562 alpha=90.00 beta=103.20 gamma=90.00
Space group P2_1/c (No. 14)
One atom of each set of equivalent atoms:
Y: 0.112 0.225 0.400 x4
Re: 0.333 0.747 0.207 x4
O: 0.128 0.501 0.178 x4
O: 0.144 0.505 0.633 x4
O: 0.313 0.658 0.952 x4
O: 0.494 0.011 0.781 x4



Record 6
Compound: La4HoIn
Source: Alexandria via LeMat-Bulk
Functional: PBE
Structure: relaxed

Summary:
The calculation puts the volume at 394.8 Å³ per cell. The total energy is -4.663 eV/atom. The calculation puts the excess energy over the best structure of this formula in the dataset at 0 meV per atom. The energy relative to the elements is -158 meV per atom.

Unit cell a=6.287 b=7.166 c=9.052 alpha=90.00 beta=104.55 gamma=90.00
Space group P2_1/m (No. 11)
One atom of each set of equivalent atoms:
La: 0.000 0.000 0.000 x2
La: 0.223 0.001 0.654 x4
La: 0.490 0.750 0.006 x2
Ho: 0.298 0.250 0.331 x2
In: 0.283 0.750 0.341 x2



Record 7
Compound: TmInH6Ir2
Source: Alexandria via LeMat-Bulk
Functional: PBE
Structure: relaxed

Summary:
The calculation puts the volume at 438.6 Å³ per cell. The total energy is -4.759 eV/atom.

Unit cell a=7.410 b=11.959 c=5.270 alpha=90.00 beta=110.08 gamma=90.00
Space group C2/c (No. 15)
One atom of each set of equivalent atoms:
Tm: 0.000 0.111 0.250 x4
In: 0.000 0.300 0.750 x4
H: 0.060 0.428 0.067 x8
H: 0.218 0.009 0.109 x8
H: 0.240 0.313 0.380 x8
Ir: 0.211 0.104 0.845 x8



Record 8
Compound: LaAsPS2
Source: Alexandria via LeMat-Bulk
Functional: PBE
Structure: relaxed

Summary:
The value obtained for the raw formation energy is 0.546 eV per atom. The calculation puts the volume at 165.6 Å³ per cell. The total energy is -4.103 eV/atom. The calculation puts the excess energy over the best structure of this formula in the dataset at 1152 meV per atom.

Unit cell a=5.375 b=5.375 c=5.732 alpha=90.00 beta=90.00 gamma=90.00
Space group P4/mmm (No. 123)
One atom of each set of equivalent atoms:
La: 0.000 0.000 0.000 x1
As: 0.500 0.500 0.500 x1
P: 0.000 0.000 0.500 x1
S: 0.000 0.500 0.000 x2



Record 9
Compound: TiZn3
Source: Alexandria via LeMat-Bulk
Functional: PBE
Structure: relaxed

Summary:
The calculation puts the volume at 60.3 Å³ per cell. The total energy is -3.113 eV/atom. The energy relative to the elements is -184 meV per atom.

Unit cell a=4.018 b=4.018 c=3.734 alpha=90.00 beta=90.00 gamma=90.00
Space group P4/mmm (No. 123)
One atom of each set of equivalent atoms:
Ti: 0.000 0.000 0.000 x1
Zn: 0.000 0.500 0.500 x2
Zn: 0.500 0.500 0.000 x1



Record 10
Compound: ScGaIr
Source: Alexandria via LeMat-Bulk
Functional: PBE
Structure: relaxed

Summary:
The calculation puts the volume at 234.6 Å³ per cell. The total energy is -6.740 eV/atom. The energy relative to the elements is -667 meV per atom.

Unit cell a=6.168 b=6.168 c=6.168 alpha=90.00 beta=90.00 gamma=90.00
Space group F-43m (No. 216)
One atom of each set of equivalent atoms:
Sc: 0.000 0.000 0.000 x4
Ga: 0.000 0.000 0.500 x4
Ir: 0.250 0.250 0.250 x4



Record 11
Compound: BaLa2TiAu
Source: Alexandria via LeMat-Bulk
Functional: PBE
Structure: relaxed

Summary:
The calculation puts the volume at 192.6 Å³ per cell. The total energy is -3.416 eV/atom. The energy relative to the elements is 1174 meV per atom.

Unit cell a=5.930 b=5.930 c=5.479 alpha=90.00 beta=90.00 gamma=90.00
Space group P4/mmm (No. 123)
One atom of each set of equivalent atoms:
Ba: 0.000 0.000 0.000 x1
La: 0.000 0.500 0.000 x2
Ti: 0.500 0.500 0.500 x1
Au: 0.000 0.000 0.500 x1



Record 12
Compound: YBe3
Source: Alexandria via LeMat-Bulk
Functional: PBE
Structure: relaxed

Summary:
The calculation puts the volume at 63.6 Å³ per cell. The total energy is -3.829 eV/atom. The calculation puts the excess energy over the best structure of this formula in the dataset at 656 meV per atom. The energy relative to the elements is 582 meV per atom.

Unit cell a=3.3161 b=3.3161 c=6.6779 alpha=90.00 beta=90.00 gamma=120.00
Space group P-6m2 (No. 187)
One atom of each set of equivalent atoms:
Y: 0.0000 0.0000 0.0000 x1
Be: 0.0000 0.0000 0.5000 x1
Be: 0.3333 0.6667 0.3284 x2